Material: TbSmAu2
Method: DFT, GGA-PBE
State: relaxed

```
TbSmAu2
1.0
-1.779 -1.922 -2.511
3.063 -1.762 -0.822
-1.587 -5.109 5.036
Tb Au Sm
1 2 1
direct
0.500 0.500 0.000
0.000 0.000 0.762
0.000 0.000 0.238
0.500 0.500 0.500
```

Properties
N(E_F) in states/eV/atom: 0.58
Formation energy in eV per atom: -0.825
Space group: P4/mmm (123)